DFT (PBE) results for a relaxed TmMg2Ga2Pd crystal.

abc: 5.167 5.167 6.430
angles: 113.69 113.69 90.00
Sites, in units of the cell vectors:
1 Tm 0.500 0.500 0.000
2 Ga 0.226 0.226 0.452
3 Ga 0.774 0.774 0.548
4 Pd 0.000 0.000 0.000
5 Mg 0.250 0.750 0.500
6 Mg 0.750 0.250 0.500

## Properties
DFT total energy	-18.621	eV per cell
total moment	0.00	μB per formula unit
crystal system	tetragonal